# 1
DFT (PBE) results for crystalline LiTb2Cd4 at its relaxed geometry.

The structure belongs to space group R-3m (No. 166, hexagonal axes); the cell edges are 5.1927, 5.1927 and 21.5954 Å and the angles 90.00°, 90.00° and 120.00°. Symmetry generates all atoms from Li at (0.0000, 0.0000, 0.0000), Tb at (0.0000, 0.0000, 0.2788), Cd at (0.0000, 0.0000, 0.1271) and Cd at (0.0000, 0.0000, 0.4272).

The energy above the most stable polymorph in this dataset comes out at 0 meV/atom. The calculation puts the energy of formation at -159 meV per atom. The value obtained for the final energy is -2.28 eV per atom. As for the theoretical density: 7.7 g/cm³. Its volume is 24.01 Å³/atom. As for the crystal system: trigonal.

# 2
DFT (PBE) results for crystalline Li2TbCd10 at its relaxed geometry.

The structure belongs to space group Fmmm (No. 69); the cell edges are 5.537, 14.130 and 14.247 Å and the angles 90.00°, 90.00° and 90.00°. Symmetry generates all atoms from Li at (0.250, 0.250, 0.000), Tb at (0.000, 0.000, 0.000), Cd at (0.000, 0.111, 0.399), Cd at (0.000, 0.180, 0.166) and Cd at (0.250, 0.000, 0.250).

The calculation puts the energy of formation at -164 meV per atom. The value obtained for the final energy is -1.52 eV per atom. As for the theoretical density: 7.7 g/cm³. Its volume is 21.43 Å³/atom. As for the crystal system: orthorhombic.

# 3
DFT (PBE) results for crystalline Li5Tb2Cd12 at its relaxed geometry.

The structure belongs to space group R-3m (No. 166, hexagonal axes); the cell edges are 9.8128, 9.8128 and 14.4845 Å and the angles 90.00°, 90.00° and 120.00°. Symmetry generates all atoms from Li at (0.0000, 0.0000, 0.0990), Li at (0.0000, 0.5000, 0.5000), Tb at (0.0000, 0.0000, 0.3446), Cd at (0.0000, 0.2978, 0.0000) and Cd at (0.0092, 0.5046, 0.8501).

The calculation puts the energy of formation at -211 meV per atom. The value obtained for the final energy is -1.78 eV per atom. As for the theoretical density: 7.0 g/cm³. Its volume is 21.19 Å³/atom. As for the crystal system: trigonal.

# 4
DFT (PBE) results for crystalline Li4TbCd5 at its relaxed geometry.

The structure belongs to space group P4/mmm (No. 123); the cell edges are 3.442, 3.442 and 16.937 Å and the angles 90.00°, 90.00° and 90.00°. Symmetry generates all atoms from Li at (0.000, 0.000, 0.093), Li at (0.000, 0.000, 0.281), Tb at (0.000, 0.000, 0.500), Cd at (0.500, 0.500, 0.000), Cd at (0.500, 0.500, 0.186) and Cd at (0.500, 0.500, 0.373).

The calculation puts the energy of formation at -261 meV per atom. The value obtained for the final energy is -1.95 eV per atom. As for the theoretical density: 6.2 g/cm³. Its volume is 20.07 Å³/atom. As for the crystal system: tetragonal.